# 1
CaGaCu3 PBE-GGA optimized geometry; electronic total energy = -3.615 eV/atom; energy of formation = -152 meV/atom
1.0
4.448 0.000 -2.459
-2.272 6.885 -4.109
0.637 -1.010 6.405
Ca Ga Cu
2 2 6
direct
0.250 0.295 0.500
0.750 0.705 0.500
0.000 0.500 0.000
0.500 0.000 0.000
0.733 0.233 0.965
0.233 0.233 0.965
0.767 0.767 0.035
0.267 0.767 0.035
0.250 0.916 0.500
0.750 0.084 0.500



# 2
Ca2GaCu7 PBE-GGA optimized geometry; electronic total energy = -3.678 eV/atom; energy of formation = -108 meV/atom
1.0
-1.888 2.765 2.133
-0.383 -2.574 2.998
9.364 3.292 4.021
Ca Ga Cu
2 1 7
direct
0.500 0.000 0.744
0.000 0.500 0.256
0.500 0.500 0.000
0.000 0.500 0.860
0.500 0.000 0.365
0.500 0.000 0.140
0.000 0.500 0.635
0.000 0.000 0.500
0.000 0.000 0.000
0.500 0.500 0.500



# 3
Ca5GaCu2 PBE-GGA optimized geometry; electronic total energy = -2.872 eV/atom; energy of formation = -219 meV/atom
1.0
-7.444 1.849 1.361
-2.278 -5.378 -5.155
4.595 -3.233 7.228
Ca Ga Cu
10 2 4
direct
0.529 0.684 0.713
0.816 0.971 0.287
0.000 0.000 0.000
0.500 0.500 0.000
0.184 0.029 0.713
0.684 0.184 0.713
0.029 0.529 0.713
0.316 0.816 0.287
0.971 0.471 0.287
0.471 0.316 0.287
0.750 0.750 0.500
0.250 0.250 0.500
0.112 0.388 0.000
0.612 0.112 0.000
0.388 0.888 0.000
0.888 0.612 0.000



# 4
CaGa6Cu2 PBE-GGA optimized geometry; electronic total energy = -3.059 eV/atom; energy of formation = 92 meV/atom
1.0
-1.774 7.632 -2.703
-7.898 2.328 -0.953
-3.335 5.556 5.168
Ca Ga Cu
2 12 4
direct
0.500 0.500 0.500
0.750 0.750 0.750
0.239 0.239 0.761
0.761 0.761 0.239
0.239 0.761 0.239
0.239 0.761 0.761
0.489 0.489 0.011
0.489 0.011 0.011
0.761 0.239 0.761
0.011 0.011 0.489
0.489 0.011 0.489
0.011 0.489 0.489
0.761 0.239 0.239
0.011 0.489 0.011
0.125 0.125 0.125
0.125 0.625 0.125
0.125 0.125 0.625
0.625 0.125 0.125



# 5
Ca2Ga12Cu PBE-GGA optimized geometry; electronic total energy = -3.232 eV/atom; energy of formation = -271 meV/atom
1.0
-4.437 3.222 2.825
-4.283 -3.451 -2.791
0.308 -9.970 11.854
Ca Ga Cu
4 24 2
direct
0.500 0.000 0.245
0.000 0.500 0.245
0.000 0.500 0.755
0.500 0.000 0.755
0.500 0.500 0.819
0.000 0.000 0.819
0.750 0.750 0.914
0.250 0.750 0.914
0.000 0.000 0.342
0.250 0.750 0.086
0.828 0.328 0.570
0.500 0.500 0.342
0.250 0.250 0.914
0.750 0.750 0.086
0.328 0.172 0.570
0.672 0.172 0.430
0.000 0.000 0.658
0.172 0.328 0.430
0.250 0.250 0.086
0.828 0.672 0.430
0.672 0.828 0.570
0.000 0.000 0.181
0.172 0.672 0.570
0.500 0.500 0.658
0.750 0.250 0.914
0.500 0.500 0.181
0.328 0.828 0.430
0.750 0.250 0.086
0.500 0.000 0.000
0.000 0.500 0.000



# 6
Ca2Ga3Cu5 PBE-GGA optimized geometry; electronic total energy = -3.609 eV/atom; energy of formation = -252 meV/atom
1.0
-3.595 3.558 -2.691
-7.629 -3.535 -0.630
-2.629 6.004 5.304
Ca Ga Cu
4 6 10
direct
0.269 0.864 0.600
0.231 0.400 0.136
0.731 0.136 0.400
0.769 0.600 0.864
0.094 0.258 0.547
0.406 0.453 0.742
0.906 0.742 0.453
0.594 0.547 0.258
0.250 0.001 0.999
0.750 0.999 0.001
0.338 0.055 0.269
0.162 0.731 0.945
0.662 0.945 0.731
0.838 0.269 0.055
0.250 0.212 0.788
0.750 0.788 0.212
0.250 0.498 0.502
0.750 0.502 0.498
0.250 0.791 0.209
0.750 0.209 0.791



# 7
CaGa3Cu PBE-GGA optimized geometry; electronic total energy = -3.136 eV/atom; energy of formation = -100 meV/atom
1.0
-1.880 -4.325 -0.574
2.163 -1.467 3.967
-3.789 1.309 2.549
Ca Cu Ga
1 1 3
direct
0.500 0.500 0.500
0.000 0.000 0.000
0.000 0.500 0.000
0.000 0.000 0.500
0.500 0.000 0.000



# 8
CaGa3Cu PBE-GGA optimized geometry; electronic total energy = -3.421 eV/atom; energy of formation = -385 meV/atom
1.0
6.191 0.606 0.000
2.830 5.540 0.000
0.000 0.000 5.830
Ca Ga Cu
2 6 2
direct
0.032 0.234 0.052
0.529 0.731 0.552
0.133 0.335 0.552
0.428 0.630 0.052
0.537 0.226 0.802
0.537 0.226 0.302
0.023 0.740 0.302
0.023 0.740 0.802
0.912 0.115 0.552
0.648 0.851 0.052



# 9
Ca2Ga2Cu PBE-GGA optimized geometry; electronic total energy = -3.224 eV/atom; energy of formation = -393 meV/atom; excess energy over the best structure of this formula in the dataset = 0.00 eV/f.u.
1.0
-2.348 3.042 -2.298
-5.482 -1.489 -0.732
-3.384 5.987 7.022
Ca Ga Cu
4 4 2
direct
0.678 0.312 0.333
0.916 0.280 0.889
0.322 0.688 0.667
0.084 0.720 0.111
0.089 0.261 0.561
0.623 0.873 0.882
0.911 0.739 0.439
0.377 0.127 0.118
0.628 0.096 0.647
0.372 0.904 0.353



# 10
Ca2Ga3Cu PBE-GGA optimized geometry; electronic total energy = -3.293 eV/atom; energy of formation = -429 meV/atom; excess energy over the best structure of this formula in the dataset = 0.13 eV/f.u.
1.0
3.730 0.000 0.000
0.000 4.409 0.000
0.000 0.000 7.787
Ca Ga Cu
2 3 1
direct
0.000 0.500 0.009
0.000 0.000 0.492
0.500 0.000 0.835
0.500 0.000 0.175
0.500 0.500 0.656
0.500 0.500 0.333



# 11
CaGa3Cu8 PBE-GGA optimized geometry; electronic total energy = -3.709 eV/atom; energy of formation = -55 meV/atom
1.0
-0.044 2.431 4.335
-4.219 -1.874 -1.841
1.390 -7.001 3.941
Ca Ga Cu
1 3 8
direct
0.000 0.000 0.568
0.667 0.333 0.413
0.667 0.333 0.056
0.000 0.000 0.950
0.333 0.667 0.498
0.333 0.667 0.001
0.502 0.005 0.761
0.502 0.498 0.761
0.995 0.498 0.761
0.165 0.330 0.244
0.165 0.835 0.244
0.670 0.835 0.244



Number 8 is which compound? CaGa3Cu



Which of these has the highest energy of formation? CaGa6Cu2



Please write out number 8 again, unchanged.
CaGa3Cu PBE-GGA optimized geometry; electronic total energy = -3.421 eV/atom; energy of formation = -385 meV/atom
1.0
6.191 0.606 0.000
2.830 5.540 0.000
0.000 0.000 5.830
Ca Ga Cu
2 6 2
direct
0.032 0.234 0.052
0.529 0.731 0.552
0.133 0.335 0.552
0.428 0.630 0.052
0.537 0.226 0.802
0.537 0.226 0.302
0.023 0.740 0.302
0.023 0.740 0.802
0.912 0.115 0.552
0.648 0.851 0.052